# 1
The following is a DFT calculation (PBE) of a relaxed structure of V3Cr.

The structure in POSCAR format:
```
V3Cr
1.0
2.947 0.000 0.000
0.000 2.947 0.000
0.000 0.000 5.950
V Cr
3 1
Cartesian
0.000 0.000 0.000 V
1.474 1.474 1.539 V
1.474 1.474 4.411 V
0.000 0.000 2.975 Cr
```

Values from the calculation:
Energy of formation from the pure elements   -0.94 kcal/mol of atoms
Crystal system   tetragonal
Total magnetization   0.0002 μB/atom
Calculated total energy   -0.6825 Ry/atom
Space-group type   No. 123

***

# 2
The following is a DFT calculation (PBE) of a relaxed structure of Tc2TeCl.

The structure in POSCAR format:
```
Tc2TeCl
1.0
1.561 -2.783 0.000
1.561 2.783 0.000
0.000 0.000 8.360
Tc Te Cl
2 1 1
Cartesian
0.000 0.000 2.070 Tc
0.000 0.000 6.289 Tc
1.561 0.000 0.000 Te
1.561 0.000 4.180 Cl
```

Values from the calculation:
Uncorrected formation energy   825 meV/atom
Crystal system   orthorhombic
Total magnetization   0.0000 μB/atom
Calculated total energy   -0.4120 Ry/atom
Space-group type   No. 65

***

# 3
The following is a DFT calculation (PBE) of a relaxed structure of PuScCuAu.

The structure in POSCAR format:
```
PuScCuAu
1.0
0.000 3.478 3.478
3.478 0.000 3.478
3.478 3.478 0.000
Pu Sc Cu Au
1 1 1 1
Cartesian
0.000 0.000 0.000 Pu
3.478 3.478 3.478 Sc
1.739 1.739 1.739 Cu
5.216 5.216 5.216 Au
```

Values from the calculation:
Energy of formation from the pure elements   -5.78 kcal/mol of atoms
Crystal system   cubic
Total magnetization   1.4252 μB/atom
Calculated total energy   -0.5336 Ry/atom
Space-group type   No. 216

***

# 4
The following is a DFT calculation (PBE) of a relaxed structure of Ac2TeBr2N.

The structure in POSCAR format:
```
Ac2TeBr2N
1.0
4.474 0.000 0.000
0.000 8.630 0.000
0.000 0.000 9.487
Ac Te Br N
4 2 4 2
Cartesian
0.000 0.862 0.000 Ac
0.000 7.768 4.743 Ac
2.237 2.673 5.296 Ac
2.237 5.957 0.553 Ac
2.237 0.484 2.527 Te
2.237 8.146 7.271 Te
0.000 3.677 1.726 Br
0.000 4.953 6.469 Br
2.237 2.997 8.491 Br
2.237 5.633 3.747 Br
0.000 1.509 5.275 N
0.000 7.121 0.531 N
```

Values from the calculation:
Uncorrected formation energy   -1421 meV/atom
Crystal system   orthorhombic
Total magnetization   0.1709 μB/atom
Calculated total energy   -0.3865 Ry/atom
Space-group type   No. 26

***

# 5
The following is a DFT calculation (PBE) of a relaxed structure of SrIn2Sb2.

The structure in POSCAR format:
```
SrIn2Sb2
1.0
8.534 0.000 0.000
0.000 8.534 0.000
0.000 0.000 4.357
Sr In Sb
2 4 4
Cartesian
0.000 0.000 0.000 Sr
4.267 4.267 0.000 Sr
1.348 2.919 2.179 In
2.919 7.186 2.179 In
5.615 1.348 2.179 In
7.186 5.615 2.179 In
1.057 5.324 0.000 Sb
3.211 1.057 0.000 Sb
5.324 7.478 0.000 Sb
7.478 3.211 0.000 Sb
```

Values from the calculation:
Uncorrected formation energy   -256 meV/atom
Crystal system   tetragonal
Total magnetization   0.0000 μB/atom
Calculated total energy   -0.2452 Ry/atom
Space-group type   No. 127

***

# 6
The following is a DFT calculation (PBE) of a relaxed structure of Sr5Tl4In.

The structure in POSCAR format:
```
Sr5Tl4In
1.0
4.097 0.000 0.000
0.000 4.097 0.000
0.000 0.000 20.462
Sr Tl In
5 4 1
Cartesian
0.000 0.000 0.000 Sr
0.000 0.000 4.104 Sr
0.000 0.000 8.207 Sr
0.000 0.000 12.255 Sr
0.000 0.000 16.358 Sr
2.049 2.049 2.048 Tl
2.049 2.049 6.165 Tl
2.049 2.049 14.298 Tl
2.049 2.049 18.414 Tl
2.049 2.049 10.231 In
```

Values from the calculation:
Energy of formation from the pure elements   -9.92 kcal/mol of atoms
Crystal system   tetragonal
Total magnetization   0.0000 μB/atom
Calculated total energy   -0.1831 Ry/atom
Space-group type   No. 123

***

# 7
The following is a DFT calculation (PBE) of a relaxed structure of CaSm2Ir.

The structure in POSCAR format:
```
CaSm2Ir
1.0
7.487 0.000 0.000
0.000 9.559 0.000
0.000 0.000 6.437
Ca Sm Ir
4 8 4
Cartesian
0.275 2.390 0.860 Ca
3.469 7.169 4.079 Ca
4.019 2.390 2.358 Ca
7.212 7.169 5.577 Ca
1.296 0.606 4.324 Sm
1.296 4.174 4.324 Sm
2.447 5.385 1.105 Sm
2.447 8.953 1.105 Sm
5.040 0.606 5.332 Sm
5.040 4.174 5.332 Sm
6.191 5.385 2.114 Sm
6.191 8.953 2.114 Sm
0.824 7.169 2.747 Ir
2.920 2.390 5.966 Ir
4.567 7.169 0.471 Ir
6.663 2.390 3.690 Ir
```

Values from the calculation:
Energy of formation from the pure elements   -9.77 kcal/mol of atoms
Crystal system   orthorhombic
Total magnetization   0.0000 μB/atom
Calculated total energy   -0.4042 Ry/atom
Space-group type   No. 62

***

# 8
The following is a DFT calculation (PBE) of a relaxed structure of Cs2ThBiS4.

The structure in POSCAR format:
```
Cs2ThBiS4
1.0
0.000 7.965 13.323
3.234 0.000 13.323
3.234 7.965 0.000
Cs Th Bi S
4 2 2 8
Cartesian
2.425 5.973 1.407 Cs
4.042 9.956 8.068 Cs
2.425 5.973 18.577 Cs
4.042 9.956 25.238 Cs
0.808 1.991 3.331 Th
5.659 13.938 23.315 Th
2.425 5.973 9.992 Bi
4.042 9.956 16.653 Bi
2.295 3.665 4.829 S
4.172 7.647 11.490 S
2.555 8.282 4.829 S
2.555 3.665 15.155 S
3.912 12.264 11.490 S
3.912 7.647 21.817 S
2.295 8.282 15.155 S
4.172 12.264 21.817 S
```

Values from the calculation:
Uncorrected formation energy   -953 meV/atom
Crystal system   orthorhombic
Total magnetization   0.0000 μB/atom
Calculated total energy   -0.3413 Ry/atom
Space-group type   No. 70